1.
# Rb3NpMn2S6 (PBE, optimized geometry)
# ΔE_f (raw)   -0.99 eV/atom
data_Rb3NpMn2S6
_cell_length_a 6.732
_cell_length_b 11.656
_cell_length_c 7.915
_cell_angle_alpha 90.00
_cell_angle_beta 106.45
_cell_angle_gamma 90.00
_symmetry_space_group_name_H-M 'C 1 2/m 1'
_symmetry_Int_Tables_number 12
loop_
_symmetry_equiv_pos_as_xyz
'x,y,z'
'-x,-y,-z'
'-x,y,-z'
'x,-y,z'
'x+1/2,y+1/2,z'
'-x+1/2,-y+1/2,-z'
'-x+1/2,y+1/2,-z'
'x+1/2,-y+1/2,z'
loop_
_atom_site_label
_atom_site_type_symbol
_atom_site_fract_x
_atom_site_fract_y
_atom_site_fract_z
Rb1 Rb 0.000 0.000 0.000
Rb2 Rb 0.000 0.333 0.000
Np1 Np 0.000 0.500 0.500
Mn1 Mn 0.000 0.167 0.500
S1 S 0.219 0.000 0.681
S2 S 0.231 0.329 0.681


2.
# Rb2NpMnS5 (PBE, optimized geometry)
# ΔE_f (raw)   -1.02 eV/atom
data_Rb2NpMnS5
_cell_length_a 4.040
_cell_length_b 19.355
_cell_length_c 14.003
_cell_angle_alpha 90.00
_cell_angle_beta 90.00
_cell_angle_gamma 90.00
_symmetry_space_group_name_H-M 'C m c 21'
_symmetry_Int_Tables_number 36
loop_
_symmetry_equiv_pos_as_xyz
'x,y,z'
'-x,-y,z+1/2'
'-x,y,z'
'x,-y,z+1/2'
'x+1/2,y+1/2,z'
'-x+1/2,-y+1/2,z+1/2'
'-x+1/2,y+1/2,z'
'x+1/2,-y+1/2,z+1/2'
loop_
_atom_site_label
_atom_site_type_symbol
_atom_site_fract_x
_atom_site_fract_y
_atom_site_fract_z
Rb1 Rb 0.000 0.125 0.000
Rb2 Rb 0.000 0.126 0.642
Np1 Np 0.000 0.200 0.337
Mn1 Mn 0.000 0.428 0.737
S1 S 0.000 0.061 0.316
S2 S 0.000 0.305 0.958
S3 S 0.000 0.311 0.708
S4 S 0.000 0.327 0.322
S5 S 0.000 0.490 0.612


3.
# RbNp2MnS4 (PBE, optimized geometry)
# ΔE_f (raw)   -1.15 eV/atom
data_RbNp2MnS4
_cell_length_a 4.020
_cell_length_b 13.826
_cell_length_c 13.780
_cell_angle_alpha 90.00
_cell_angle_beta 90.00
_cell_angle_gamma 90.00
_symmetry_space_group_name_H-M 'C m c m'
_symmetry_Int_Tables_number 63
_symmetry_space_group_name_Hall '-C 2c 2'
loop_
_atom_site_label
_atom_site_type_symbol
_atom_site_fract_x
_atom_site_fract_y
_atom_site_fract_z
Rb1 Rb 0.000 0.102 0.250
Np1 Np 0.000 0.368 0.057
Mn1 Mn 0.000 0.169 0.750
S1 S 0.000 0.000 0.000
S2 S 0.000 0.258 0.609
S3 S 0.000 0.418 0.250


4.
# RbNpMnS3 (PBE, optimized geometry)
# ΔE_f (raw)   -1.12 eV/atom
data_RbNpMnS3
_cell_length_a 9.056
_cell_length_b 4.067
_cell_length_c 9.490
_cell_angle_alpha 90.00
_cell_angle_beta 108.63
_cell_angle_gamma 90.00
_symmetry_space_group_name_H-M 'P 1 21/m 1'
_symmetry_Int_Tables_number 11
loop_
_symmetry_equiv_pos_as_xyz
'x,y,z'
'-x,-y,-z'
'-x,y+1/2,-z'
'x,-y+1/2,z'
loop_
_atom_site_label
_atom_site_type_symbol
_atom_site_fract_x
_atom_site_fract_y
_atom_site_fract_z
Rb1 Rb 0.206 0.250 0.237
Np1 Np 0.331 0.750 0.849
Mn1 Mn 0.081 0.250 0.600
S1 S 0.127 0.250 0.856
S2 S 0.190 0.750 0.543
S3 S 0.465 0.750 0.150